CaYAlPd | GGA-PBE | relaxed

## Properties
For the formation energy, the calculation gives -486 meV/atom.

Cell and atoms, written as POSCAR:
```
CaYAlPd
1.0
5.084 0.000 0.000
2.542 4.403 0.000
2.542 1.468 4.151
Al Pd Ca Y
1 1 1 1
direct
0.500 0.500 0.500
0.000 0.000 0.000
0.250 0.250 0.250
0.750 0.750 0.750
```